# DyAl12Co4 (PBE-GGA, optimized geometry)
data_DyAl12Co4
_cell_length_a 7.746
_cell_length_b 7.746
_cell_length_c 7.746
_cell_angle_alpha 109.47
_cell_angle_beta 109.47
_cell_angle_gamma 109.47
_symmetry_space_group_name_H-M 'P 1'
_symmetry_Int_Tables_number 1
_symmetry_space_group_name_Hall 'P 1'
loop_
_atom_site_label
_atom_site_type_symbol
_atom_site_fract_x
_atom_site_fract_y
_atom_site_fract_z
Dy1 Dy 0.000 0.000 0.000
Al1 Al 0.000 0.258 0.742
Al2 Al 0.000 0.742 0.258
Al3 Al 0.258 0.000 0.742
Al4 Al 0.258 0.258 0.517
Al5 Al 0.258 0.517 0.258
Al6 Al 0.258 0.742 0.000
Al7 Al 0.483 0.742 0.742
Al8 Al 0.517 0.258 0.258
Al9 Al 0.742 0.000 0.258
Al10 Al 0.742 0.258 0.000
Al11 Al 0.742 0.483 0.742
Al12 Al 0.742 0.742 0.483
Co1 Co 0.000 0.000 0.500
Co2 Co 0.000 0.500 0.000
Co3 Co 0.500 0.000 0.000
Co4 Co 0.500 0.500 0.500
# E: -80.13 eV for the cell shown
# DOS at the Fermi energy: 0.52 states/eV/atom
# Total magnetic moment: 1.59 μB per formula unit

# DyAlCo (PBE-GGA, optimized geometry)
data_DyAlCo
_cell_length_a 4.235
_cell_length_b 4.235
_cell_length_c 3.675
_cell_angle_alpha 90.00
_cell_angle_beta 90.00
_cell_angle_gamma 120.00
_symmetry_space_group_name_H-M 'P 1'
_symmetry_Int_Tables_number 1
_symmetry_space_group_name_Hall 'P 1'
loop_
_atom_site_label
_atom_site_type_symbol
_atom_site_fract_x
_atom_site_fract_y
_atom_site_fract_z
Dy1 Dy 0.000 0.000 0.000
Al1 Al 0.667 0.333 0.500
Co1 Co 0.333 0.667 0.500
# E: -16.35 eV for the cell shown
# DOS at the Fermi energy: 0.86 states/eV/atom
# Total magnetic moment: 0.60 μB per formula unit

# DyAl8Co2 (PBE-GGA, optimized geometry)
data_DyAl8Co2
_cell_length_a 5.612
_cell_length_b 5.612
_cell_length_c 7.685
_cell_angle_alpha 90.00
_cell_angle_beta 90.00
_cell_angle_gamma 90.00
_symmetry_space_group_name_H-M 'P 1'
_symmetry_Int_Tables_number 1
_symmetry_space_group_name_Hall 'P 1'
loop_
_atom_site_label
_atom_site_type_symbol
_atom_site_fract_x
_atom_site_fract_y
_atom_site_fract_z
Dy1 Dy 0.000 0.000 0.000
Al1 Al 0.250 0.250 0.323
Al2 Al 0.250 0.250 0.677
Al3 Al 0.250 0.750 0.323
Al4 Al 0.250 0.750 0.677
Al5 Al 0.750 0.250 0.323
Al6 Al 0.750 0.250 0.677
Al7 Al 0.750 0.750 0.323
Al8 Al 0.750 0.750 0.677
Co1 Co 0.000 0.500 0.500
Co2 Co 0.500 0.000 0.500
# E: -47.91 eV for the cell shown
# DOS at the Fermi energy: 0.81 states/eV/atom
# Total magnetic moment: 0.00 μB per formula unit

# DyAl3Co (PBE-GGA, optimized geometry)
data_DyAl3Co
_cell_length_a 8.170
_cell_length_b 4.024
_cell_length_c 10.652
_cell_angle_alpha 90.00
_cell_angle_beta 90.00
_cell_angle_gamma 90.00
_symmetry_space_group_name_H-M 'P 1'
_symmetry_Int_Tables_number 1
_symmetry_space_group_name_Hall 'P 1'
loop_
_atom_site_label
_atom_site_type_symbol
_atom_site_fract_x
_atom_site_fract_y
_atom_site_fract_z
Dy1 Dy 0.191 0.250 0.009
Dy2 Dy 0.309 0.750 0.509
Dy3 Dy 0.691 0.250 0.491
Dy4 Dy 0.809 0.750 0.991
Al1 Al 0.050 0.250 0.582
Al2 Al 0.108 0.750 0.780
Al3 Al 0.150 0.750 0.225
Al4 Al 0.350 0.250 0.725
Al5 Al 0.392 0.250 0.280
Al6 Al 0.450 0.750 0.082
Al7 Al 0.550 0.250 0.918
Al8 Al 0.608 0.750 0.720
Al9 Al 0.650 0.750 0.275
Al10 Al 0.850 0.250 0.775
Al11 Al 0.892 0.250 0.220
Al12 Al 0.950 0.750 0.418
Co1 Co 0.118 0.250 0.357
Co2 Co 0.382 0.750 0.857
Co3 Co 0.618 0.250 0.143
Co4 Co 0.882 0.750 0.643
# E: -102.55 eV for the cell shown
# DOS at the Fermi energy: 0.39 states/eV/atom
# Total magnetic moment: 0.00 μB per formula unit

# Dy2Al3Co (PBE-GGA, optimized geometry)
data_Dy2Al3Co
_cell_length_a 5.362
_cell_length_b 5.362
_cell_length_c 5.362
_cell_angle_alpha 61.29
_cell_angle_beta 61.29
_cell_angle_gamma 61.29
_symmetry_space_group_name_H-M 'P 1'
_symmetry_Int_Tables_number 1
_symmetry_space_group_name_Hall 'P 1'
loop_
_atom_site_label
_atom_site_type_symbol
_atom_site_fract_x
_atom_site_fract_y
_atom_site_fract_z
Dy1 Dy 0.126 0.126 0.126
Dy2 Dy 0.874 0.874 0.874
Al1 Al 0.000 0.500 0.500
Al2 Al 0.500 0.000 0.500
Al3 Al 0.500 0.500 0.000
Co1 Co 0.500 0.500 0.500
# E: -30.26 eV for the cell shown
# DOS at the Fermi energy: 0.68 states/eV/atom
# Total magnetic moment: 0.00 μB per formula unit

# Dy2AlCo (PBE-GGA, optimized geometry)
data_Dy2AlCo
_cell_length_a 5.200
_cell_length_b 5.200
_cell_length_c 5.200
_cell_angle_alpha 132.33
_cell_angle_beta 83.51
_cell_angle_gamma 116.08
_symmetry_space_group_name_H-M 'P 1'
_symmetry_Int_Tables_number 1
_symmetry_space_group_name_Hall 'P 1'
loop_
_atom_site_label
_atom_site_type_symbol
_atom_site_fract_x
_atom_site_fract_y
_atom_site_fract_z
Dy1 Dy 0.218 0.000 0.218
Dy2 Dy 0.782 0.000 0.782
Al1 Al 0.530 0.530 0.000
Co1 Co 0.811 0.311 0.500
# E: -20.88 eV for the cell shown
# DOS at the Fermi energy: 0.71 states/eV/atom
# Total magnetic moment: 0.00 μB per formula unit

# Dy12AlCo5 (PBE-GGA, optimized geometry)
data_Dy12AlCo5
_cell_length_a 8.243
_cell_length_b 8.243
_cell_length_c 8.243
_cell_angle_alpha 110.69
_cell_angle_beta 110.59
_cell_angle_gamma 107.16
_symmetry_space_group_name_H-M 'P 1'
_symmetry_Int_Tables_number 1
_symmetry_space_group_name_Hall 'P 1'
loop_
_atom_site_label
_atom_site_type_symbol
_atom_site_fract_x
_atom_site_fract_y
_atom_site_fract_z
Dy1 Dy 0.020 0.211 0.809
Dy2 Dy 0.187 0.293 0.479
Dy3 Dy 0.187 0.707 0.894
Dy4 Dy 0.316 0.012 0.697
Dy5 Dy 0.316 0.619 0.303
Dy6 Dy 0.402 0.211 0.191
Dy7 Dy 0.598 0.789 0.809
Dy8 Dy 0.684 0.381 0.697
Dy9 Dy 0.684 0.988 0.303
Dy10 Dy 0.813 0.293 0.106
Dy11 Dy 0.813 0.707 0.521
Dy12 Dy 0.980 0.789 0.191
Al1 Al 0.500 0.500 0.000
Co1 Co 0.000 0.000 0.000
Co2 Co 0.113 0.613 0.500
Co3 Co 0.377 0.000 0.377
Co4 Co 0.623 0.000 0.623
Co5 Co 0.887 0.387 0.500
# E: -98.42 eV for the cell shown
# DOS at the Fermi energy: 0.81 states/eV/atom
# Total magnetic moment: 0.00 μB per formula unit

# Dy7Al2Co2 (PBE-GGA, optimized geometry)
data_Dy7Al2Co2
_cell_length_a 6.657
_cell_length_b 6.657
_cell_length_c 6.840
_cell_angle_alpha 90.00
_cell_angle_beta 90.00
_cell_angle_gamma 109.26
_symmetry_space_group_name_H-M 'P 1'
_symmetry_Int_Tables_number 1
_symmetry_space_group_name_Hall 'P 1'
loop_
_atom_site_label
_atom_site_type_symbol
_atom_site_fract_x
_atom_site_fract_y
_atom_site_fract_z
Dy1 Dy 0.000 0.000 0.000
Dy2 Dy 0.000 0.500 0.250
Dy3 Dy 0.000 0.500 0.750
Dy4 Dy 0.500 0.000 0.250
Dy5 Dy 0.500 0.000 0.750
Dy6 Dy 0.500 0.500 0.243
Dy7 Dy 0.500 0.500 0.757
Al1 Al 0.167 0.167 0.500
Al2 Al 0.833 0.833 0.500
Co1 Co 0.294 0.706 0.000
Co2 Co 0.706 0.294 0.000
# E: -55.36 eV for the cell shown
# DOS at the Fermi energy: 0.99 states/eV/atom
# Total magnetic moment: 0.00 μB per formula unit

no.,energy of formation from the pure elements (eV/atom)
1,-0.129
2,-0.301
3,0.077
4,-0.540
5,-0.453
6,-0.208
7,-0.218
8,-0.132